# 1
# K2Rb3NaBr6 (GGA-PBE, relaxed)
# Calculated total energy, eV for the cell shown: -73.74
# Energy relative to the elements, uncorrected, eV per formula unit: -20.417
data_K2Rb3NaBr6
_cell_length_a 8.251
_cell_length_b 14.290
_cell_length_c 8.278
_cell_angle_alpha 90.00
_cell_angle_beta 109.49
_cell_angle_gamma 90.00
_symmetry_space_group_name_H-M 'C 1 2/m 1'
_symmetry_Int_Tables_number 12
loop_
_symmetry_equiv_pos_as_xyz
'x,y,z'
'-x,-y,-z'
'-x,y,-z'
'x,-y,z'
'x+1/2,y+1/2,z'
'-x+1/2,-y+1/2,-z'
'-x+1/2,y+1/2,-z'
'x+1/2,-y+1/2,z'
loop_
_atom_site_label
_atom_site_fract_x
_atom_site_fract_y
_atom_site_fract_z
K1 0.000 0.166 0.000
Rb1 0.000 0.000 0.500
Rb2 0.000 0.331 0.500
Na1 0.000 0.500 0.000
Br1 0.236 0.341 0.230
Br2 0.241 0.500 0.770

# 2
# Sm2Mn3Cu9P7 (GGA-PBE, relaxed)
# Energy of formation, meV per atom: -424
# Calculated total energy, eV for the cell shown: -120.58
data_Sm2Mn3Cu9P7
_cell_length_a 9.5235
_cell_length_b 9.5235
_cell_length_c 3.8073
_cell_angle_alpha 90.00
_cell_angle_beta 90.00
_cell_angle_gamma 120.00
_symmetry_space_group_name_H-M 'P -6'
_symmetry_Int_Tables_number 174
loop_
_symmetry_equiv_pos_as_xyz
'x,y,z'
'-x+y,-x,-z'
'-y,x-y,z'
'x,y,-z'
'-x+y,-x,z'
'-y,x-y,-z'
loop_
_atom_site_label
_atom_site_fract_x
_atom_site_fract_y
_atom_site_fract_z
Sm1 0.0000 0.0000 0.0000
Sm2 0.3333 0.6667 0.5000
Mn1 0.4506 0.2476 0.0000
Cu1 0.0481 0.7622 0.5000
Cu2 0.0923 0.3743 0.0000
Cu3 0.5043 0.0550 0.5000
P1 0.0792 0.6258 0.0000
P2 0.2557 0.0483 0.5000
P3 0.6667 0.3333 0.5000

# 3
# Ba3TlHg2O6 (GGA-PBE, relaxed)
# Calculated total energy, eV for the cell shown: -54.42
# Energy relative to the elements, uncorrected, eV per formula unit: -15.933
data_Ba3TlHg2O6
_cell_length_a 6.3525
_cell_length_b 6.3525
_cell_length_c 6.9573
_cell_angle_alpha 90.00
_cell_angle_beta 90.00
_cell_angle_gamma 120.00
_symmetry_space_group_name_H-M 'P -3 m 1'
_symmetry_Int_Tables_number 164
_symmetry_space_group_name_Hall '-P 3 2"'
loop_
_atom_site_label
_atom_site_fract_x
_atom_site_fract_y
_atom_site_fract_z
Ba1 0.0000 0.0000 0.0000
Ba2 0.3333 0.6667 0.6094
Tl1 0.0000 0.0000 0.5000
Hg1 0.3333 0.6667 0.1210
O1 0.1654 0.3307 0.3081

# 4
# Zn2MoCl (GGA-PBE, relaxed)
# Calculated total energy, eV for the cell shown: -13.59
# Energy relative to the elements, uncorrected, eV per formula unit: 1.638
data_Zn2MoCl
_cell_length_a 2.826
_cell_length_b 4.393
_cell_length_c 5.143
_cell_angle_alpha 90.00
_cell_angle_beta 90.00
_cell_angle_gamma 90.00
_symmetry_space_group_name_H-M 'P m m m'
_symmetry_Int_Tables_number 47
loop_
_symmetry_equiv_pos_as_xyz
'x,y,z'
'-x,-y,-z'
'-x,-y,z'
'x,y,-z'
'x,-y,-z'
'-x,y,z'
'-x,y,-z'
'x,-y,z'
loop_
_atom_site_label
_atom_site_fract_x
_atom_site_fract_y
_atom_site_fract_z
Zn1 0.000 0.000 0.000
Zn2 0.500 0.500 0.000
Mo1 0.000 0.500 0.500
Cl1 0.500 0.000 0.500

# 5
# PrUOs2 (GGA-PBE, relaxed)
# Energy of formation, meV per atom: -34
# Calculated total energy, eV for the cell shown: -154.66
data_PrUOs2
_cell_length_a 6.510
_cell_length_b 5.042
_cell_length_c 10.472
_cell_angle_alpha 90.00
_cell_angle_beta 90.00
_cell_angle_gamma 90.00
_symmetry_space_group_name_H-M 'P n m a'
_symmetry_Int_Tables_number 62
loop_
_symmetry_equiv_pos_as_xyz
'x,y,z'
'-x,-y,-z'
'-x+1/2,-y,z+1/2'
'x+1/2,y,-z+1/2'
'x+1/2,-y+1/2,-z+1/2'
'-x+1/2,y+1/2,z+1/2'
'-x,y+1/2,-z'
'x,-y+1/2,z'
loop_
_atom_site_label
_atom_site_fract_x
_atom_site_fract_y
_atom_site_fract_z
Pr1 0.195 0.250 0.160
U1 0.030 0.750 0.380
Os1 0.088 0.250 0.861
Os2 0.241 0.250 0.465

# 6
# La2NbTcC (GGA-PBE, relaxed)
# Energy of formation, meV per atom: 940
# Calculated total energy, eV for the cell shown: -34.81
data_La2NbTcC
_cell_length_a 5.582
_cell_length_b 5.582
_cell_length_c 3.984
_cell_angle_alpha 90.00
_cell_angle_beta 90.00
_cell_angle_gamma 90.00
_symmetry_space_group_name_H-M 'P 4/m m m'
_symmetry_Int_Tables_number 123
_symmetry_space_group_name_Hall '-P 4 2'
loop_
_atom_site_label
_atom_site_fract_x
_atom_site_fract_y
_atom_site_fract_z
La1 0.000 0.500 0.000
Nb1 0.000 0.000 0.500
Tc1 0.500 0.500 0.000
C1 0.500 0.500 0.500